Dy4GaN after structural relaxation, computed with PBE.

Cell and atoms, written as extended XYZ:
```
12
Lattice="3.544 0.000 0.000 0.000 9.912 1.121 0.000 -2.837 8.218" Properties=species:S:1:pos:R:3 pbc="T T T"
Ga 1.769 6.725 2.895
Dy 1.772 2.013 4.054
Dy 3.543 9.067 3.415
N 0.000 3.537 4.670
Dy 1.772 5.062 5.285
Dy 1.772 5.551 8.724
N 0.000 0.000 0.000
Dy 0.001 2.692 6.964
Dy 0.001 -1.992 5.924
Dy 1.772 1.524 0.615
Ga 1.775 0.350 6.444
Dy 3.543 4.382 2.376
```

Summary:
- V (Å³/cell) = 299.98
- E_form (uncorrected) (eV per atom) = -0.63